Crystalline Ta2CuOs at its relaxed geometry. Source: Alexandria, functional GGA-PBE.

Calculated values
Final energy = -9.752 eV per atom
Formation enthalpy at 0 K = 6 meV/atom

Lattice parameters (Å, degrees): 5.3093 5.3093 5.3093 145.57 130.11 62.02
Closest atoms and distances in Å follow each position.
Sites, in units of the cell vectors:
Ta (0.0000, 0.0000, 0.0000)  4 Os 2.74, 2 Cu 2.84, 2 Ta 2.84
Ta (0.7398, 0.2398, 0.5000)  2 Os 2.66, 4 Cu 2.74, 2 Ta 2.84
Cu (0.2597, 0.7597, 0.5000)  2 Os 2.72, 6 Ta 2.74-2.84
Os (0.5040, 0.5040, 0.0000)  6 Ta 2.66-2.74, 2 Cu 2.72